# Cs2DyCd2S4 | Alexandria | PBE | optimized geometry
# SG	C2/m
data_Cs2DyCd2S4
_chemical_formula_sum 'Cs2 Dy1 Cd2 S4'
_space_group_name_H-M_alt 'P 1'
_space_group_IT_number 1
_space_group_name_Hall 'P 1'
_cell_length_a 8.578
_cell_length_b 8.578
_cell_length_c 8.565
_cell_angle_alpha 112.20
_cell_angle_beta 112.20
_cell_angle_gamma 27.43
loop_
_atom_site_label
_atom_site_type_symbol
_atom_site_fract_x
_atom_site_fract_y
_atom_site_fract_z
Cs1 Cs 0.127 0.127 0.058
Cs2 Cs 0.873 0.873 0.942
Dy1 Dy 0.000 0.000 0.500
Cd1 Cd 0.315 0.315 0.480
Cd2 Cd 0.685 0.685 0.520
S1 S 0.178 0.178 0.707
S2 S 0.474 0.474 0.701
S3 S 0.526 0.526 0.299
S4 S 0.822 0.822 0.293

***

# As3AuF | Alexandria | PBE | optimized geometry
# SG	Pm-3m
# energy above the most stable polymorph in this dataset	254	meV/atom
data_As3AuF
_chemical_formula_sum 'As3 Au1 F1'
_space_group_name_H-M_alt 'P 1'
_space_group_IT_number 1
_space_group_name_Hall 'P 1'
_cell_length_a 5.060
_cell_length_b 5.060
_cell_length_c 5.060
_cell_angle_alpha 90.00
_cell_angle_beta 90.00
_cell_angle_gamma 90.00
loop_
_atom_site_label
_atom_site_type_symbol
_atom_site_fract_x
_atom_site_fract_y
_atom_site_fract_z
As1 As 0.000 0.000 0.500
As2 As 0.000 0.500 0.000
As3 As 0.500 0.000 0.000
Au1 Au 0.000 0.000 0.000
F1 F 0.500 0.500 0.500

***

| no. | ΔE_f (raw) (meV/atom) | E_tot (eV per atom) |
| --- | --- | --- |
| 1 | -1139.2 | -3.878 |
| 2 | 717.9 | -3.102 |